# 1
## BaNiH2 (PBE-GGA)

Data for BaNiH2 after structural relaxation.

extended XYZ file:
```
8
Lattice="-2.709 2.709 3.723 2.709 -2.709 3.723 2.709 2.709 -3.723" Properties=species:S:1:pos:R:3 pbc="T T T"
Ba 0.000 0.000 0.000
Ba 0.000 2.709 1.862
Ni 2.709 0.000 1.862
Ni 0.000 0.000 3.723
H 1.355 2.383 -0.931
H 3.036 1.355 0.931
H 1.355 0.327 2.792
H -0.327 1.355 4.654
```

Calculated values
- ΔE to the lowest computed polymorph (meV per atom) = 1
- SG = No. 122
- total magnetic moment (μB/cell) = 0.00
- crystal system = tetragonal


# 2
## BaNi2H6 (PBE-GGA)

Data for BaNi2H6 after structural relaxation.

extended XYZ file:
```
18
Lattice="0.000 4.333 4.333 4.333 0.000 4.333 4.333 4.333 0.000" Properties=species:S:1:pos:R:3 pbc="T T T"
Ba 1.083 1.083 1.083
Ba 7.583 7.583 7.583
Ni 4.333 2.166 2.166
Ni 2.166 4.333 2.166
Ni 2.166 2.166 4.333
Ni 4.333 4.333 4.333
H 3.250 3.250 1.565
H 3.250 1.565 3.250
H 4.934 3.250 3.250
H 5.416 5.416 3.732
H 5.416 3.732 5.416
H 7.101 5.416 5.416
H 1.565 3.250 3.250
H 3.250 4.934 3.250
H 3.250 3.250 4.934
H 3.732 5.416 5.416
H 5.416 7.101 5.416
H 5.416 5.416 7.101
```

Calculated values
- raw total energy (eV for the cell shown) = -71.59
- SG = No. 227
- total magnetic moment (μB/cell) = 0.00
- crystal system = cubic


# 3
## Ba6NiH12 (PBE-GGA)

Data for Ba6NiH12 after structural relaxation.

extended XYZ file:
```
19
Lattice="5.427 3.133 3.584 -5.427 3.133 3.584 0.000 -6.267 3.584" Properties=species:S:1:pos:R:3 pbc="T T T"
Ba -2.518 0.647 3.656
Ba 0.699 -2.504 3.656
Ba -1.819 -1.857 7.095
Ba 1.819 1.857 3.656
Ba -0.699 2.504 7.095
Ba 2.518 -0.647 7.095
Ni 0.000 0.000 0.000
H -3.981 -3.452 6.214
H -4.980 1.721 4.538
H -1.611 -1.700 4.478
H 0.999 -5.174 4.538
H -2.278 0.545 6.274
H -0.667 2.245 4.478
H 0.667 -2.245 6.274
H 2.278 -0.545 4.478
H -0.999 5.174 6.214
H 1.611 1.700 6.274
H 4.980 -1.721 6.214
H 3.981 3.452 4.538
```

Calculated values
- raw total energy (eV for the cell shown) = -62.87
- SG = No. 148
- total magnetic moment (μB/cell) = 1.73
- crystal system = trigonal